{
  "formula": "Pm4NdS7",
  "functional": "PBE",
  "state": "optimized geometry",
  "formation_energy_uncorrected_kj_per_mol_fu": -2380,
  "lattice": [[6.665, -1.966, 0.000], [6.665, 1.966, 0.000], [-3.043, 0.000, 11.502]],
  "species": ["Pm", "Pm", "Pm", "Pm", "Nd", "S", "S", "S", "S", "S", "S", "S"],
  "fractional_positions": [[0.000, 0.000, 0.000], [0.189, 0.189, 0.769], [0.588, 0.588, 0.392], [0.888, 0.888, 0.580], [0.777, 0.777, 0.159], [0.147, 0.147, 0.229], [0.229, 0.229, 0.529], [0.389, 0.389, 0.079], [0.548, 0.548, 0.631], [0.628, 0.628, 0.930], [0.845, 0.845, 0.795], [0.932, 0.932, 0.366]]
}

---

{
  "formula": "PmNd6S8",
  "functional": "PBE",
  "state": "optimized geometry",
  "formation_energy_uncorrected_kj_per_mol_fu": -2958,
  "lattice": [[0.000, 5.742, 5.742], [5.742, 0.000, 5.742], [5.742, 5.742, 0.000]],
  "species": ["Pm", "Nd", "Nd", "Nd", "Nd", "Nd", "Nd", "S", "S", "S", "S", "S", "S", "S", "S"],
  "fractional_positions": [[0.000, 0.000, 0.000], [0.000, 0.000, 0.500], [0.000, 0.500, 0.000], [0.000, 0.500, 0.500], [0.500, 0.000, 0.000], [0.500, 0.000, 0.500], [0.500, 0.500, 0.000], [0.248, 0.248, 0.752], [0.248, 0.752, 0.248], [0.248, 0.752, 0.752], [0.250, 0.250, 0.250], [0.750, 0.750, 0.750], [0.752, 0.248, 0.248], [0.752, 0.248, 0.752], [0.752, 0.752, 0.248]]
}

---

{
  "formula": "Pm2Nd3S8",
  "functional": "PBE",
  "state": "optimized geometry",
  "formation_energy_uncorrected_kj_per_mol_fu": -2292,
  "lattice": [[7.042, -4.122, 0.000], [7.042, 4.122, 0.000], [-2.454, 0.000, 6.477]],
  "species": ["Pm", "Pm", "Nd", "Nd", "Nd", "S", "S", "S", "S", "S", "S", "S", "S"],
  "fractional_positions": [[0.235, 0.235, 0.153], [0.765, 0.765, 0.847], [0.236, 0.764, 0.500], [0.500, 0.500, 0.000], [0.764, 0.236, 0.500], [0.120, 0.120, 0.408], [0.143, 0.604, 0.084], [0.382, 0.382, 0.565], [0.396, 0.857, 0.916], [0.604, 0.143, 0.084], [0.618, 0.618, 0.435], [0.857, 0.396, 0.916], [0.880, 0.880, 0.592]]
}

---

{
  "formula": "Pm3Nd2S8",
  "functional": "PBE",
  "state": "optimized geometry",
  "formation_energy_uncorrected_kj_per_mol_fu": -2314,
  "lattice": [[7.033, -4.113, 0.000], [7.033, 4.113, 0.000], [-2.421, 0.000, 6.462]],
  "species": ["Pm", "Pm", "Pm", "Nd", "Nd", "S", "S", "S", "S", "S", "S", "S", "S"],
  "fractional_positions": [[0.000, 0.000, 0.000], [0.263, 0.737, 0.500], [0.737, 0.263, 0.500], [0.266, 0.266, 0.846], [0.734, 0.734, 0.154], [0.106, 0.645, 0.085], [0.116, 0.116, 0.432], [0.355, 0.894, 0.915], [0.379, 0.379, 0.583], [0.621, 0.621, 0.417], [0.645, 0.106, 0.085], [0.884, 0.884, 0.568], [0.894, 0.355, 0.915]]
}

---

{
  "formula": "Pm3NdS",
  "functional": "PBE",
  "state": "optimized geometry",
  "formation_energy_uncorrected_kj_per_mol_fu": -329,
  "lattice": [[5.482, 0.000, 0.000], [0.000, 5.482, 0.000], [0.000, 0.000, 5.482]],
  "species": ["Pm", "Pm", "Pm", "Nd", "S"],
  "fractional_positions": [[0.000, 0.000, 0.500], [0.000, 0.500, 0.000], [0.500, 0.000, 0.000], [0.500, 0.500, 0.500], [0.000, 0.000, 0.000]]
}

---

{
  "formula": "Pm5Nd2S5",
  "functional": "PBE",
  "state": "optimized geometry",
  "formation_energy_uncorrected_kj_per_mol_fu": -1811,
  "lattice": [[6.583, -1.944, 0.000], [6.583, 1.944, 0.000], [-2.604, 0.000, 11.988]],
  "species": ["Pm", "Pm", "Pm", "Pm", "Pm", "Nd", "Nd", "S", "S", "S", "S", "S"],
  "fractional_positions": [[0.000, 0.000, 0.000], [0.154, 0.154, 0.554], [0.244, 0.244, 0.854], [0.756, 0.756, 0.146], [0.846, 0.846, 0.446], [0.474, 0.474, 0.721], [0.526, 0.526, 0.279], [0.199, 0.199, 0.331], [0.374, 0.374, 0.071], [0.500, 0.500, 0.500], [0.626, 0.626, 0.929], [0.801, 0.801, 0.669]]
}

---

{
  "formula": "Pm6NdS8",
  "functional": "PBE",
  "state": "optimized geometry",
  "formation_energy_uncorrected_kj_per_mol_fu": -2966,
  "lattice": [[0.000, 5.697, 5.697], [5.697, 0.000, 5.697], [5.697, 5.697, 0.000]],
  "species": ["Pm", "Pm", "Pm", "Pm", "Pm", "Pm", "Nd", "S", "S", "S", "S", "S", "S", "S", "S"],
  "fractional_positions": [[0.000, 0.000, 0.500], [0.000, 0.500, 0.000], [0.000, 0.500, 0.500], [0.500, 0.000, 0.000], [0.500, 0.000, 0.500], [0.500, 0.500, 0.000], [0.000, 0.000, 0.000], [0.250, 0.250, 0.250], [0.252, 0.252, 0.748], [0.252, 0.748, 0.252], [0.252, 0.748, 0.748], [0.748, 0.252, 0.252], [0.748, 0.252, 0.748], [0.748, 0.748, 0.252], [0.750, 0.750, 0.750]]
}

---

{
  "formula": "PmNd3S4",
  "functional": "PBE",
  "state": "optimized geometry",
  "polymorph_energy_mev_per_atom": 0.0,
  "formation_energy_uncorrected_kj_per_mol_fu": -1567,
  "lattice": [[7.059, 0.000, 0.000], [0.000, 8.056, 0.000], [-2.344, 0.000, 6.657]],
  "species": ["Pm", "Pm", "Nd", "Nd", "Nd", "Nd", "Nd", "Nd", "S", "S", "S", "S", "S", "S", "S", "S"],
  "fractional_positions": [[0.000, 0.125, 0.250], [0.000, 0.875, 0.750], [0.000, 0.375, 0.750], [0.000, 0.625, 0.250], [0.500, 0.125, 0.750], [0.500, 0.375, 0.250], [0.500, 0.625, 0.750], [0.500, 0.875, 0.250], [0.248, 0.124, 0.000], [0.248, 0.876, 0.500], [0.249, 0.374, 0.499], [0.249, 0.626, 0.999], [0.751, 0.374, 0.001], [0.751, 0.626, 0.501], [0.752, 0.124, 0.500], [0.752, 0.876, 0.000]]
}

---

{
  "formula": "PmNd4S5",
  "functional": "PBE",
  "state": "optimized geometry",
  "formation_energy_uncorrected_kj_per_mol_fu": -1952,
  "lattice": [[-2.031, 2.871, 10.164], [2.031, -2.871, 10.164], [2.031, 2.871, -10.164]],
  "species": ["Pm", "Nd", "Nd", "Nd", "Nd", "S", "S", "S", "S", "S"],
  "fractional_positions": [[0.000, 0.000, 0.000], [0.200, 0.200, 0.000], [0.400, 0.400, 0.000], [0.600, 0.600, 0.000], [0.800, 0.800, 0.000], [0.099, 0.599, 0.500], [0.300, 0.800, 0.500], [0.500, 0.000, 0.500], [0.700, 0.200, 0.500], [0.901, 0.401, 0.500]]
}

---

{
  "formula": "PmNd3S6",
  "functional": "PBE",
  "state": "optimized geometry",
  "formation_energy_uncorrected_kj_per_mol_fu": -1962,
  "lattice": [[5.942, 3.431, 4.693], [-5.942, 3.431, 4.693], [0.000, -6.862, 4.693]],
  "species": ["Pm", "Pm", "Nd", "Nd", "Nd", "Nd", "Nd", "Nd", "S", "S", "S", "S", "S", "S", "S", "S", "S", "S", "S", "S"],
  "fractional_positions": [[0.000, 0.000, 0.000], [0.500, 0.500, 0.500], [0.065, 0.574, 0.748], [0.252, 0.935, 0.426], [0.426, 0.252, 0.935], [0.574, 0.748, 0.065], [0.748, 0.065, 0.574], [0.935, 0.426, 0.252], [0.034, 0.905, 0.682], [0.095, 0.318, 0.966], [0.185, 0.593, 0.422], [0.318, 0.966, 0.095], [0.407, 0.578, 0.815], [0.422, 0.185, 0.593], [0.578, 0.815, 0.407], [0.593, 0.422, 0.185], [0.682, 0.034, 0.905], [0.815, 0.407, 0.578], [0.905, 0.682, 0.034], [0.966, 0.095, 0.318]]
}

---

{
  "formula": "PmNd5S6",
  "functional": "PBE",
  "state": "optimized geometry",
  "formation_energy_uncorrected_kj_per_mol_fu": -2351,
  "lattice": [[3.518, -6.109, 0.000], [3.518, 6.109, 0.000], [-2.368, 0.000, 6.619]],
  "species": ["Pm", "Nd", "Nd", "Nd", "Nd", "Nd", "S", "S", "S", "S", "S", "S"],
  "fractional_positions": [[0.000, 0.000, 0.000], [0.167, 0.833, 0.500], [0.333, 0.667, 0.000], [0.500, 0.500, 0.500], [0.667, 0.333, 0.000], [0.833, 0.167, 0.500], [0.083, 0.414, 0.249], [0.249, 0.249, 0.751], [0.414, 0.083, 0.249], [0.586, 0.917, 0.751], [0.751, 0.751, 0.249], [0.917, 0.586, 0.751]]
}

---

{
  "formula": "Pm4NdS5",
  "functional": "PBE",
  "state": "optimized geometry",
  "formation_energy_uncorrected_kj_per_mol_fu": -1957,
  "lattice": [[-2.020, 2.855, 10.110], [2.020, -2.855, 10.110], [2.020, 2.855, -10.110]],
  "species": ["Pm", "Pm", "Pm", "Pm", "Nd", "S", "S", "S", "S", "S"],
  "fractional_positions": [[0.100, 0.100, 0.000], [0.300, 0.300, 0.000], [0.700, 0.700, 0.000], [0.900, 0.900, 0.000], [0.500, 0.500, 0.000], [0.000, 0.500, 0.500], [0.200, 0.700, 0.500], [0.399, 0.899, 0.500], [0.601, 0.101, 0.500], [0.800, 0.300, 0.500]]
}

---

{
  "formula": "PmNd3S6",
  "functional": "PBE",
  "state": "optimized geometry",
  "formation_energy_uncorrected_kj_per_mol_fu": -1963,
  "lattice": [[11.346, 0.000, 0.000], [0.000, 4.104, 0.000], [-3.613, 0.000, 11.079]],
  "species": ["Pm", "Pm", "Nd", "Nd", "Nd", "Nd", "Nd", "Nd", "S", "S", "S", "S", "S", "S", "S", "S", "S", "S", "S", "S"],
  "fractional_positions": [[0.044, 0.250, 0.188], [0.956, 0.750, 0.812], [0.161, 0.250, 0.583], [0.317, 0.750, 0.995], [0.430, 0.250, 0.330], [0.570, 0.750, 0.670], [0.683, 0.250, 0.005], [0.839, 0.750, 0.417], [0.083, 0.750, 0.400], [0.110, 0.250, 0.961], [0.187, 0.750, 0.749], [0.252, 0.750, 0.221], [0.402, 0.250, 0.566], [0.477, 0.250, 0.111], [0.523, 0.750, 0.889], [0.598, 0.750, 0.434], [0.748, 0.250, 0.779], [0.813, 0.250, 0.251], [0.890, 0.750, 0.039], [0.917, 0.250, 0.600]]
}

---

{
  "formula": "Pm2Nd2S3",
  "functional": "PBE",
  "state": "optimized geometry",
  "formation_energy_uncorrected_kj_per_mol_fu": -1165,
  "lattice": [[6.671, -2.017, 0.000], [6.671, 2.017, 0.000], [-1.306, 0.000, 6.839]],
  "species": ["Pm", "Pm", "Nd", "Nd", "S", "S", "S"],
  "fractional_positions": [[0.129, 0.129, 0.372], [0.871, 0.871, 0.628], [0.374, 0.374, 0.124], [0.626, 0.626, 0.876], [0.000, 0.000, 0.000], [0.251, 0.251, 0.749], [0.749, 0.749, 0.251]]
}

---

{
  "formula": "Pm3Nd4S8",
  "functional": "PBE",
  "state": "optimized geometry",
  "formation_energy_uncorrected_kj_per_mol_fu": -2958,
  "lattice": [[5.721, -5.722, 0.000], [5.721, 5.722, 0.000], [-5.715, 0.000, 5.722]],
  "species": ["Pm", "Pm", "Pm", "Nd", "Nd", "Nd", "Nd", "S", "S", "S", "S", "S", "S", "S", "S"],
  "fractional_positions": [[0.000, 0.000, 0.000], [0.000, 0.500, 0.500], [0.500, 0.000, 0.500], [0.000, 0.000, 0.500], [0.000, 0.500, 0.000], [0.500, 0.000, 0.000], [0.500, 0.500, 0.000], [0.249, 0.751, 0.000], [0.250, 0.250, 0.001], [0.250, 0.250, 0.498], [0.251, 0.749, 0.500], [0.749, 0.251, 0.500], [0.750, 0.750, 0.502], [0.750, 0.750, 0.999], [0.751, 0.249, 0.000]]
}

---

{
  "formula": "Pm3Nd5S8",
  "functional": "PBE",
  "state": "optimized geometry",
  "formation_energy_uncorrected_kj_per_mol_fu": -3125,
  "lattice": [[4.058, 2.343, 6.623], [-4.058, 2.343, 6.623], [0.000, -4.686, 6.623]],
  "species": ["Pm", "Pm", "Pm", "Nd", "Nd", "Nd", "Nd", "Nd", "S", "S", "S", "S", "S", "S", "S", "S"],
  "fractional_positions": [[0.000, 0.500, 0.500], [0.500, 0.000, 0.500], [0.500, 0.500, 0.000], [0.000, 0.000, 0.000], [0.000, 0.000, 0.500], [0.000, 0.500, 0.000], [0.500, 0.000, 0.000], [0.500, 0.500, 0.500], [0.250, 0.250, 0.748], [0.250, 0.748, 0.250], [0.251, 0.251, 0.251], [0.252, 0.750, 0.750], [0.748, 0.250, 0.250], [0.749, 0.749, 0.749], [0.750, 0.252, 0.750], [0.750, 0.750, 0.252]]
}

---

{
  "formula": "PmNdSbS",
  "functional": "PBE",
  "state": "optimized geometry",
  "formation_energy_uncorrected_kj_per_mol_fu": -579,
  "lattice": [[2.110, 1.218, 7.294], [-2.110, 1.218, 7.294], [0.000, -2.436, 7.294]],
  "species": ["Pm", "Nd", "Sb", "S"],
  "fractional_positions": [[0.000, 0.000, 0.000], [0.186, 0.186, 0.186], [0.426, 0.426, 0.426], [0.597, 0.597, 0.597]]
}

---

{
  "formula": "PmNd2ScS6",
  "functional": "PBE",
  "state": "optimized geometry",
  "formation_energy_uncorrected_kj_per_mol_fu": -1897,
  "lattice": [[3.507, 2.025, 6.142], [-3.507, 2.025, 6.142], [0.000, -4.050, 6.142]],
  "species": ["Pm", "Nd", "Nd", "Sc", "S", "S", "S", "S", "S", "S"],
  "fractional_positions": [[0.000, 0.000, 0.000], [0.207, 0.207, 0.207], [0.711, 0.711, 0.711], [0.505, 0.505, 0.505], [0.138, 0.390, 0.776], [0.303, 0.877, 0.612], [0.390, 0.776, 0.138], [0.612, 0.303, 0.877], [0.776, 0.138, 0.390], [0.877, 0.612, 0.303]]
}

---

{
  "formula": "Pm3Nd4ScS8",
  "functional": "PBE",
  "state": "optimized geometry",
  "formation_energy_uncorrected_kj_per_mol_fu": -3064,
  "lattice": [[4.011, 2.316, 6.575], [-4.011, 2.316, 6.575], [0.000, -4.631, 6.575]],
  "species": ["Pm", "Pm", "Pm", "Nd", "Nd", "Nd", "Nd", "Sc", "S", "S", "S", "S", "S", "S", "S", "S"],
  "fractional_positions": [[0.000, 0.500, 0.500], [0.500, 0.000, 0.500], [0.500, 0.500, 0.000], [0.000, 0.000, 0.500], [0.000, 0.500, 0.000], [0.500, 0.000, 0.000], [0.500, 0.500, 0.500], [0.000, 0.000, 0.000], [0.239, 0.239, 0.759], [0.239, 0.759, 0.239], [0.241, 0.761, 0.761], [0.251, 0.251, 0.251], [0.749, 0.749, 0.749], [0.759, 0.239, 0.239], [0.761, 0.241, 0.761], [0.761, 0.761, 0.241]]
}

---

{
  "formula": "Pm4Nd3ScS8",
  "functional": "PBE",
  "state": "optimized geometry",
  "formation_energy_uncorrected_kj_per_mol_fu": -3060,
  "lattice": [[4.016, 2.319, 6.542], [-4.016, 2.319, 6.542], [0.000, -4.637, 6.542]],
  "species": ["Pm", "Pm", "Pm", "Pm", "Nd", "Nd", "Nd", "Sc", "S", "S", "S", "S", "S", "S", "S", "S"],
  "fractional_positions": [[0.000, 0.000, 0.000], [0.000, 0.500, 0.500], [0.500, 0.000, 0.500], [0.500, 0.500, 0.000], [0.000, 0.000, 0.500], [0.000, 0.500, 0.000], [0.500, 0.000, 0.000], [0.500, 0.500, 0.500], [0.251, 0.251, 0.251], [0.260, 0.260, 0.738], [0.260, 0.738, 0.260], [0.262, 0.740, 0.740], [0.738, 0.260, 0.260], [0.740, 0.262, 0.740], [0.740, 0.740, 0.262], [0.749, 0.749, 0.749]]
}